a | Below is a relaxed HgF2 crystal, with properties calculated at the PBE-GGA level.

a = 5.647 Å, b = 5.647 Å, c = 5.647 Å
α = 90.00°, β = 90.00°, γ = 90.00°
Space group Fm-3m (No. 225)
Symmetry-distinct sites (fractional):
Hg 0.000 0.000 0.000 (multiplicity 4)
F 0.250 0.250 0.250 (multiplicity 8)

total magnetic moment	0.0	μB per cell
crystal system	cubic

---

b | Below is a relaxed HgF2 crystal, with properties calculated at the PBE-GGA level.

a = 3.872 Å, b = 6.151 Å, c = 3.890 Å
α = 90.00°, β = 107.00°, γ = 90.00°
Space group P2_1/m (No. 11)
Symmetry-distinct sites (fractional):
Hg 0.228 0.250 0.268 (multiplicity 2)
F 0.115 0.750 0.387 (multiplicity 2)
F 0.500 0.000 0.000 (multiplicity 2)

total magnetic moment	0.0	μB per cell
crystal system	monoclinic

---

c | Below is a relaxed HgF2 crystal, with properties calculated at the PBE-GGA level.

a = 5.990 Å, b = 3.810 Å, c = 7.511 Å
α = 90.00°, β = 90.00°, γ = 90.00°
Space group Pnma (No. 62)
Symmetry-distinct sites (fractional):
Hg 0.243 0.250 0.095 (multiplicity 4)
F 0.007 0.750 0.151 (multiplicity 4)
F 0.131 0.250 0.406 (multiplicity 4)

total magnetic moment	0.0	μB per cell
crystal system	orthorhombic

---

d | Below is a relaxed HgF2 crystal, with properties calculated at the PBE-GGA level.

a = 5.264 Å, b = 5.264 Å, c = 3.789 Å
α = 90.00°, β = 90.00°, γ = 90.00°
Space group P4_2/mnm (No. 136)
Symmetry-distinct sites (fractional):
Hg 0.000 0.000 0.000 (multiplicity 2)
F 0.195 0.195 0.500 (multiplicity 4)

total magnetic moment	0.0	μB per cell
crystal system	tetragonal

---

a has the most favorable energy; the next structure is 6 meV per atom above.

---

a | Below is a relaxed HgIF2 crystal, with properties calculated at the PBE-GGA level.

a = 6.613 Å, b = 6.613 Å, c = 6.613 Å
α = 90.00°, β = 90.00°, γ = 90.00°
Space group Fm-3m (No. 225)
Symmetry-distinct sites (fractional):
Hg 0.000 0.000 0.000 (multiplicity 4)
I 0.000 0.000 0.500 (multiplicity 4)
F 0.250 0.250 0.250 (multiplicity 8)

total magnetic moment	4.1	μB per cell
crystal system	cubic

---

b | Below is a relaxed HgIF2 crystal, with properties calculated at the PBE-GGA level.

a = 6.828 Å, b = 6.828 Å, c = 8.412 Å
α = 90.00°, β = 90.00°, γ = 90.00°
Space group I-42d (No. 122)
Symmetry-distinct sites (fractional):
Hg 0.000 0.000 0.000 (multiplicity 4)
I 0.000 0.000 0.500 (multiplicity 4)
F 0.140 0.250 0.125 (multiplicity 8)

total magnetic moment	4.0	μB per cell
crystal system	tetragonal

---

c | Below is a relaxed HgIF2 crystal, with properties calculated at the PBE-GGA level.

a = 3.609 Å, b = 15.871 Å, c = 6.106 Å
α = 90.00°, β = 90.00°, γ = 90.00°
Space group Cmcm (No. 63)
Symmetry-distinct sites (fractional):
Hg 0.000 0.206 0.250 (multiplicity 4)
I 0.000 0.002 0.250 (multiplicity 4)
F 0.000 0.321 0.509 (multiplicity 8)

total magnetic moment	0.0	μB per cell
crystal system	orthorhombic

---

c has the most favorable energy; the next structure is 268 meV per atom above.